Hf2TiOsPb (PBE, optimized geometry); DFT total energy = -35.6 eV/cell; energy of formation = 1.43 eV/atom; size of the total moment = 1.3 μB per formula unit; density = 11.5 g cm⁻³
1.0
4.773 0.000 0.000
0.000 4.773 0.000
0.000 0.000 5.066
Hf Ti Os Pb
2 1 1 1
direct
0.000 0.500 0.000 Hf
0.500 0.000 0.000 Hf
0.000 0.000 0.000 Ti
0.500 0.500 0.500 Os
0.000 0.000 0.500 Pb